VASP calculation (PBE-GGA) on a geometry-optimized PaIn2Cl4F2 structure.

```
9
Lattice="5.743 -0.185 -0.126 1.067 7.042 0.043 1.067 2.625 6.535" Properties=species:S:1:pos:R:3 pbc="T T T"
Pa 2.871 -0.093 -0.063
Cl 5.376 6.947 2.259
Cl 2.500 4.830 0.819
Cl 2.500 2.535 4.192
Cl 5.376 4.652 5.632
F 6.368 8.211 5.586
F 1.507 1.272 0.865
In 5.495 2.716 1.848
In 2.381 6.767 4.604
```

## Properties
Size of the total moment (μB/cell): 1.00
Formation energy (no corrections) (kJ per mole of atoms): -186.4

VASP calculation (PBE-GGA) on a geometry-optimized InPbCl2F structure.

```
10
Lattice="4.347 0.000 0.000 0.000 8.875 0.984 0.000 -2.446 7.198" Properties=species:S:1:pos:R:3 pbc="T T T"
In 3.261 2.365 5.599
In 1.087 4.064 2.583
Pb 3.261 0.365 2.106
Pb 1.087 6.065 6.077
Cl 1.087 1.477 0.491
Cl 3.261 6.231 4.073
Cl 1.087 0.199 4.110
Cl 3.261 4.952 7.691
F 1.087 3.850 5.076
F 3.261 2.580 3.106
```

## Properties
Size of the total moment (μB/cell): 0.00
Formation energy (no corrections) (kJ per mole of atoms): -133.5
D(E_F) (states/eV per atom): 0.00

VASP calculation (PBE-GGA) on a geometry-optimized InPbCl2F structure.

```
5
Lattice="-0.305 4.200 -3.953 -5.768 -0.246 0.183 -0.029 3.232 3.437" Properties=species:S:1:pos:R:3 pbc="T T T"
In -3.051 3.593 -0.166
Pb 0.000 0.000 0.000
Cl -2.884 -0.123 0.091
Cl -0.152 2.100 -1.976
F -0.015 1.616 1.719
```

## Properties
Size of the total moment (μB/cell): 0.00
Formation energy (no corrections) (kJ per mole of atoms): -125.0
D(E_F) (states/eV per atom): 0.00

VASP calculation (PBE-GGA) on a geometry-optimized InPbClF2 structure.

```
10
Lattice="4.215 0.000 0.000 0.000 7.189 -0.079 0.000 -2.829 8.296" Properties=species:S:1:pos:R:3 pbc="T T T"
Cl 3.161 -1.901 6.938
Cl 1.054 6.261 1.279
Pb 1.054 1.964 0.538
Pb 3.161 2.396 7.680
F 1.054 1.089 7.225
F 3.161 3.271 0.993
F 3.161 1.939 5.204
F 1.054 2.421 3.013
In 1.054 0.489 4.620
In 3.161 3.871 3.597
```

## Properties
Size of the total moment (μB/cell): 0.00
Formation energy (no corrections) (kJ per mole of atoms): -168.2
D(E_F) (states/eV per atom): 0.00

VASP calculation (PBE-GGA) on a geometry-optimized PuIn2Cl3F3 structure.

```
9
Lattice="3.720 0.000 0.000 0.000 7.633 0.000 0.000 -3.817 6.610" Properties=species:S:1:pos:R:3 pbc="T T T"
Cl 0.000 2.986 0.000
Cl 0.000 -1.493 2.586
Cl 0.000 2.323 4.024
In 1.860 3.817 2.203
In 1.860 0.000 4.407
F 1.860 0.753 1.304
F 1.860 -3.064 5.307
F 1.860 6.128 0.000
Pu 0.000 0.000 0.000
```

## Properties
Size of the total moment (μB/cell): 4.58
Formation energy (no corrections) (kJ per mole of atoms): -190.8
D(E_F) (states/eV per atom): 1.50

VASP calculation (PBE-GGA) on a geometry-optimized Rb2InClF6 structure.

```
10
Lattice="6.321 0.000 0.000 0.000 6.321 0.000 3.160 3.160 5.047" Properties=species:S:1:pos:R:3 pbc="T T T"
Rb 3.160 6.321 2.524
Rb 6.321 3.160 2.524
F 3.160 3.160 2.983
F 4.827 1.494 0.000
F 4.827 4.827 0.000
F 6.321 6.321 2.064
F 1.494 1.494 0.000
F 1.494 4.827 0.000
Cl 3.160 3.160 0.000
In 0.000 0.000 0.000
```

## Properties
Size of the total moment (μB/cell): 2.00
Formation energy (no corrections) (kJ per mole of atoms): -199.5
D(E_F) (states/eV per atom): 0.00

VASP calculation (PBE-GGA) on a geometry-optimized RbInClF structure.

```
4
Lattice="4.179 0.022 0.028 -2.080 4.028 0.366 -2.036 -0.462 7.483" Properties=species:S:1:pos:R:3 pbc="T T T"
Rb 0.447 0.521 4.429
F -1.640 1.821 3.107
Cl -1.663 1.791 6.743
In -1.709 3.157 1.228
```

## Properties
Size of the total moment (μB/cell): 0.00
Formation energy (no corrections) (kJ per mole of atoms): -165.5
D(E_F) (states/eV per atom): 0.00

VASP calculation (PBE-GGA) on a geometry-optimized Rb2InClF structure.

```
5
Lattice="5.977 0.000 0.000 0.000 6.888 0.000 0.000 0.000 5.977" Properties=species:S:1:pos:R:3 pbc="T T T"
Rb 2.988 0.000 0.000
Rb 0.000 0.000 2.988
Cl 0.000 0.000 0.000
In 2.988 3.444 2.988
F 0.000 3.444 0.000
```

## Properties
Size of the total moment (μB/cell): 0.92
Formation energy (no corrections) (kJ per mole of atoms): -85.0
D(E_F) (states/eV per atom): 0.28

VASP calculation (PBE-GGA) on a geometry-optimized RbInCl2F structure.

```
5
Lattice="5.534 0.000 0.000 0.000 5.534 0.000 0.000 0.000 4.524" Properties=species:S:1:pos:R:3 pbc="T T T"
Cl 0.000 2.767 0.000
Cl 2.767 0.000 0.000
F 0.000 0.000 2.262
In 0.000 0.000 0.000
Rb 2.767 2.767 2.262
```

## Properties
Size of the total moment (μB/cell): 0.00
Formation energy (no corrections) (kJ per mole of atoms): -165.0
D(E_F) (states/eV per atom): 0.24

VASP calculation (PBE-GGA) on a geometry-optimized RbInClF structure.

```
4
Lattice="5.283 0.000 0.000 2.642 4.576 0.000 2.642 1.525 4.314" Properties=species:S:1:pos:R:3 pbc="T T T"
Rb 5.283 3.050 2.157
In 0.000 0.000 0.000
F 2.642 1.525 1.078
Cl 7.925 4.576 3.235
```

## Properties
Size of the total moment (μB/cell): 0.00
Formation energy (no corrections) (kJ per mole of atoms): -152.0
D(E_F) (states/eV per atom): 0.00

VASP calculation (PBE-GGA) on a geometry-optimized RbIn2ClF2 structure.

```
12
Lattice="6.501 0.000 0.000 0.000 7.765 -2.081 0.000 -5.012 8.768" Properties=species:S:1:pos:R:3 pbc="T T T"
Cl 1.625 -2.608 6.747
Cl 4.876 5.361 -0.061
In 0.026 2.593 4.833
In 3.225 2.593 4.833
In 3.276 0.160 1.854
In 6.476 0.160 1.854
Rb 4.876 -1.331 5.742
Rb 1.625 4.084 0.944
F 4.876 3.711 3.639
F 1.625 -0.958 3.047
F 1.625 2.191 3.012
F 4.876 0.563 3.675
```

## Properties
Size of the total moment (μB/cell): 0.00
Formation energy (no corrections) (kJ per mole of atoms): -163.8

VASP calculation (PBE-GGA) on a geometry-optimized Rb2InCl3F3 structure.

```
9
Lattice="3.255 0.000 0.000 0.000 8.850 0.000 0.000 -4.425 7.664" Properties=species:S:1:pos:R:3 pbc="T T T"
F 1.627 -3.681 6.377
F 1.627 7.363 0.000
F 1.627 0.743 1.287
Cl 0.000 -1.661 2.877
Cl 0.000 3.322 0.000
Cl 0.000 2.764 4.787
In 0.000 0.000 0.000
Rb 1.627 4.425 2.555
Rb 1.627 0.000 5.109
```

## Properties
Size of the total moment (μB/cell): 1.01
Formation energy (no corrections) (kJ per mole of atoms): -167.2
D(E_F) (states/eV per atom): 0.10

> Which formula does entry 9 have?

RbInCl2F

> Which of these has the highest formation energy (no corrections)?

Rb2InClF

What did the fifth record say?
VASP calculation (PBE-GGA) on a geometry-optimized PuIn2Cl3F3 structure.

```
9
Lattice="3.720 0.000 0.000 0.000 7.633 0.000 0.000 -3.817 6.610" Properties=species:S:1:pos:R:3 pbc="T T T"
Cl 0.000 2.986 0.000
Cl 0.000 -1.493 2.586
Cl 0.000 2.323 4.024
In 1.860 3.817 2.203
In 1.860 0.000 4.407
F 1.860 0.753 1.304
F 1.860 -3.064 5.307
F 1.860 6.128 0.000
Pu 0.000 0.000 0.000
```

## Properties
Size of the total moment (μB/cell): 4.58
Formation energy (no corrections) (kJ per mole of atoms): -190.8
D(E_F) (states/eV per atom): 1.50